VASP calculation (GGA-PBE) on a relaxed GeIrS2Cl crystal.

Cell: 4.7106 4.7106 4.6550 Å, 90.00 90.00 90.00°
With the nearest neighbours (Å) after each atom.
Space group P4/mmm (No. 123)
Inequivalent atoms, fractional coordinates:
Ge  0.0000  0.0000  0.0000  2 Cl 2.33, 4 S 2.36
Ir  0.5000  0.5000  0.5000  8 S 3.31, 4 Cl 3.33
S  0.0000  0.5000  0.0000  2 Ge 2.36
Cl  0.0000  0.0000  0.5000  2 Ge 2.33

Values from the calculation:
V ... 103.3 Å³/f.u.
ΔE to the lowest computed polymorph ... 728 meV per atom
Uncorrected energy ... -3.6345 eV/atom

VASP calculation (GGA-PBE) on a relaxed GeTe2IrCl crystal.

Cell: 5.3859 5.3859 4.7617 Å, 90.00 90.00 90.00°
With the nearest neighbours (Å) after each atom.
Space group P4/mmm (No. 123)
Inequivalent atoms, fractional coordinates:
Ge  0.0000  0.0000  0.0000  2 Ir 2.38
Te  0.0000  0.5000  0.5000  2 Ir 2.69
Ir  0.0000  0.0000  0.5000  2 Ge 2.38
Cl  0.5000  0.5000  0.0000  8 Te 3.59, 4 Ge 3.81

Values from the calculation:
V ... 138.1 Å³/f.u.
Uncorrected energy ... -3.9991 eV/atom